DySnRh2 | Alexandria | GGA-PBE | optimized geometry; energy relative to the elements = -0.679 eV per atom; crystal system = tetragonal; total moment = 0.000 μB/f.u.; space group = P4/mmm, No. 123; DOS at the Fermi energy = 2.175 states/eV per cell
1.0
3.4306 0.0000 0.0000
0.0000 3.4306 0.0000
0.0000 0.0000 6.3294
Dy Sn Rh
1 1 2
Direct
0.0000 0.0000 0.0000
0.0000 0.0000 0.5000
0.5000 0.5000 0.2684
0.5000 0.5000 0.7316